# 1
Density functional theory data (PBE) for a geometry-optimized Mg2Os structure.

Cell: 4.739 4.739 2.745 Å, 90.00 90.00 90.00°
Fractional coordinates of all 3 atoms:
Mg (0.000, 0.500, 0.000)
Mg (0.500, 0.000, 0.000)
Os (0.000, 0.000, 0.500)

Values from the calculation:
* formation enthalpy at 0 K: 222 meV/atom
* volume: 20.55 Å³/atom

***

# 2
Density functional theory data (PBE) for a geometry-optimized KLaTe4 structure.

Cell: 6.587 6.587 6.587 Å, 60.00 60.00 60.00°
Fractional coordinates of all 6 atoms:
K (0.000, 0.000, 0.000)
La (0.750, 0.750, 0.750)
Te (0.375, 0.375, 0.375)
Te (0.375, 0.375, 0.874)
Te (0.375, 0.874, 0.375)
Te (0.874, 0.375, 0.375)

Values from the calculation:
* volume: 33.69 Å³/atom
* uncorrected formation energy: -0.31 eV per atom

***

# 3
Density functional theory data (PBE) for a geometry-optimized LiPmGe4Pd2 structure.

Cell: 9.398 9.398 9.398 Å, 26.54 26.54 26.54°
Fractional coordinates of all 8 atoms:
Li (0.000, 0.000, 0.000)
Pm (0.500, 0.500, 0.500)
Ge (0.104, 0.104, 0.104)
Ge (0.375, 0.375, 0.375)
Ge (0.625, 0.625, 0.625)
Ge (0.896, 0.896, 0.896)
Pd (0.259, 0.259, 0.259)
Pd (0.741, 0.741, 0.741)

Values from the calculation:
* formation enthalpy at 0 K: -527 meV/atom
* volume: 18.26 Å³/atom

***

# 4
Density functional theory data (PBE) for a geometry-optimized HfCu structure.

Cell: 7.112 7.112 7.112 Å, 90.00 90.00 90.00°
Fractional coordinates of all 12 atoms:
Hf (0.000, 0.250, 0.500)
Hf (0.000, 0.750, 0.500)
Hf (0.250, 0.500, 0.000)
Hf (0.500, 0.000, 0.250)
Hf (0.500, 0.000, 0.750)
Hf (0.750, 0.500, 0.000)
Cu (0.000, 0.500, 0.250)
Cu (0.000, 0.500, 0.750)
Cu (0.250, 0.000, 0.500)
Cu (0.500, 0.250, 0.000)
Cu (0.500, 0.750, 0.000)
Cu (0.750, 0.000, 0.500)

Values from the calculation:
* formation enthalpy at 0 K: 1248 meV/atom
* volume: 29.98 Å³/atom

***

# 5
Density functional theory data (PBE) for a geometry-optimized Nd2Zn2Cu5Rh structure.

Cell: 9.825 9.825 3.541 Å, 90.00 90.00 90.00°
Fractional coordinates of all 20 atoms:
Nd (0.180, 0.320, 0.000)
Nd (0.320, 0.820, 0.000)
Nd (0.680, 0.180, 0.000)
Nd (0.820, 0.680, 0.000)
Zn (0.119, 0.619, 0.000)
Zn (0.381, 0.119, 0.000)
Zn (0.619, 0.881, 0.000)
Zn (0.881, 0.381, 0.000)
Cu (0.000, 0.500, 0.500)
Cu (0.050, 0.809, 0.500)
Cu (0.191, 0.050, 0.500)
Cu (0.309, 0.550, 0.500)
Cu (0.450, 0.309, 0.500)
Cu (0.500, 0.000, 0.500)
Cu (0.550, 0.691, 0.500)
Cu (0.691, 0.450, 0.500)
Cu (0.809, 0.950, 0.500)
Cu (0.950, 0.191, 0.500)
Rh (0.000, 0.000, 0.000)
Rh (0.500, 0.500, 0.000)

Values from the calculation:
* formation enthalpy at 0 K: -66 meV/atom
* volume: 17.09 Å³/atom

***

# 6
Density functional theory data (PBE) for a geometry-optimized Cr2Cu structure.

Cell: 7.253 7.253 2.333 Å, 90.00 90.00 120.00°
Fractional coordinates of all 9 atoms:
Cr (0.000, 0.318, 0.000)
Cr (0.000, 0.652, 0.500)
Cr (0.318, 0.000, 0.000)
Cr (0.348, 0.348, 0.500)
Cr (0.652, 0.000, 0.500)
Cr (0.682, 0.682, 0.000)
Cu (0.000, 0.000, 0.500)
Cu (0.333, 0.667, 0.000)
Cu (0.667, 0.333, 0.000)

Values from the calculation:
* formation enthalpy at 0 K: 332 meV/atom
* volume: 11.81 Å³/atom